1.
The following is a GGA-PBE calculation of a geometry-optimized CrAg2Rh structure, from Alexandria via LeMat-Bulk.

Results
Electronic total energy = -5.372 eV per atom
Offset from the most stable computed form = 129 meV per atom

```
data_CrAg2Rh
_space_group_name_H-M_alt 'C 1 2/m 1'
_space_group_IT_number 12
_cell_length_a 9.682
_cell_length_b 2.897
_cell_length_c 4.706
_cell_angle_alpha 90.00
_cell_angle_beta 101.45
_cell_angle_gamma 90.00
loop_
_space_group_symop_operation_xyz
'x,y,z'
'-x,-y,-z'
'-x,y,-z'
'x,-y,z'
'x+1/2,y+1/2,z'
'-x+1/2,-y+1/2,-z'
'-x+1/2,y+1/2,-z'
'x+1/2,-y+1/2,z'
loop_
_atom_site_label
_atom_site_type_symbol
_atom_site_fract_x
_atom_site_fract_y
_atom_site_fract_z
Cr1 Cr 0.000 0.000 0.000
Ag1 Ag 0.249 0.000 0.749
Rh1 Rh 0.000 0.500 0.500
```

---

2.
The following is a GGA-PBE calculation of a geometry-optimized CrAgRh2 structure, from Alexandria via LeMat-Bulk.

Results
Electronic total energy = -6.463 eV per atom

```
data_CrAgRh2
_space_group_name_H-M_alt 'P m m m'
_space_group_IT_number 47
_cell_length_a 2.908
_cell_length_b 4.522
_cell_length_c 4.639
_cell_angle_alpha 90.00
_cell_angle_beta 90.00
_cell_angle_gamma 90.00
loop_
_space_group_symop_operation_xyz
'x,y,z'
'-x,-y,-z'
'-x,-y,z'
'x,y,-z'
'x,-y,-z'
'-x,y,z'
'-x,y,-z'
'x,-y,z'
loop_
_atom_site_label
_atom_site_type_symbol
_atom_site_fract_x
_atom_site_fract_y
_atom_site_fract_z
Cr1 Cr 0.000 0.000 0.000
Ag1 Ag 0.500 0.000 0.500
Rh1 Rh 0.000 0.500 0.500
Rh2 Rh 0.500 0.500 0.000
```

---

3.
The following is a GGA-PBE calculation of a geometry-optimized CrAg2Rh structure, from Alexandria via LeMat-Bulk.

Results
Electronic total energy = -5.501 eV per atom
Offset from the most stable computed form = 0 meV per atom

```
data_CrAg2Rh
_space_group_name_H-M_alt 'P 4 m m'
_space_group_IT_number 99
_cell_length_a 2.857
_cell_length_b 2.857
_cell_length_c 7.851
_cell_angle_alpha 90.00
_cell_angle_beta 90.00
_cell_angle_gamma 90.00
loop_
_space_group_symop_operation_xyz
'x,y,z'
'-y,x,z'
'-x,-y,z'
'y,-x,z'
'-x,y,z'
'y,x,z'
'x,-y,z'
'-y,-x,z'
loop_
_atom_site_label
_atom_site_type_symbol
_atom_site_fract_x
_atom_site_fract_y
_atom_site_fract_z
Cr1 Cr 0.000 0.000 0.000
Ag1 Ag 0.000 0.000 0.463
Ag2 Ag 0.500 0.500 0.738
Rh1 Rh 0.500 0.500 0.194
```

---

4.
The following is a GGA-PBE calculation of a geometry-optimized CrAg2Rh structure, from Alexandria via LeMat-Bulk.

Results
Electronic total energy = -5.475 eV per atom
Offset from the most stable computed form = 26 meV per atom

```
data_CrAg2Rh
_space_group_name_H-M_alt 'P m m 2'
_space_group_IT_number 25
_cell_length_a 2.929
_cell_length_b 3.550
_cell_length_c 6.193
_cell_angle_alpha 90.00
_cell_angle_beta 90.00
_cell_angle_gamma 90.00
loop_
_space_group_symop_operation_xyz
'x,y,z'
'-x,-y,z'
'-x,y,z'
'x,-y,z'
loop_
_atom_site_label
_atom_site_type_symbol
_atom_site_fract_x
_atom_site_fract_y
_atom_site_fract_z
Cr1 Cr 0.000 0.000 0.000
Ag1 Ag 0.000 0.000 0.458
Ag2 Ag 0.500 0.500 0.723
Rh1 Rh 0.500 0.500 0.178
```

---

5.
The following is a GGA-PBE calculation of a geometry-optimized CrAg2Rh structure, from Alexandria via LeMat-Bulk.

Results
Electronic total energy = -5.334 eV per atom
Offset from the most stable computed form = 167 meV per atom

```
data_CrAg2Rh
_space_group_name_H-M_alt 'I m m 2'
_space_group_IT_number 44
_cell_length_a 3.052
_cell_length_b 4.677
_cell_length_c 9.122
_cell_angle_alpha 90.00
_cell_angle_beta 90.00
_cell_angle_gamma 90.00
loop_
_space_group_symop_operation_xyz
'x,y,z'
'-x,-y,z'
'-x,y,z'
'x,-y,z'
'x+1/2,y+1/2,z+1/2'
'-x+1/2,-y+1/2,z+1/2'
'-x+1/2,y+1/2,z+1/2'
'x+1/2,-y+1/2,z+1/2'
loop_
_atom_site_label
_atom_site_type_symbol
_atom_site_fract_x
_atom_site_fract_y
_atom_site_fract_z
Cr1 Cr 0.000 0.000 0.000
Ag1 Ag 0.000 0.000 0.479
Ag2 Ag 0.000 0.500 0.243
Rh1 Rh 0.000 0.500 0.717
```

---

6.
The following is a GGA-PBE calculation of a geometry-optimized CrAg2Rh structure, from Alexandria via LeMat-Bulk.

Results
Electronic total energy = -5.383 eV per atom
Offset from the most stable computed form = 118 meV per atom

```
data_CrAg2Rh
_space_group_name_H-M_alt 'I -4 m 2'
_space_group_IT_number 119
_space_group_name_Hall 'I -4 -2'
_cell_length_a 4.071
_cell_length_b 4.071
_cell_length_c 7.728
_cell_angle_alpha 90.00
_cell_angle_beta 90.00
_cell_angle_gamma 90.00
loop_
_atom_site_label
_atom_site_type_symbol
_atom_site_fract_x
_atom_site_fract_y
_atom_site_fract_z
Cr1 Cr 0.000 0.000 0.000
Ag1 Ag 0.000 0.000 0.500
Ag2 Ag 0.000 0.500 0.250
Rh1 Rh 0.000 0.500 0.750
```

---

7.
The following is a GGA-PBE calculation of a geometry-optimized CrAgRh2 structure, from Alexandria via LeMat-Bulk.

Results
Electronic total energy = -6.429 eV per atom

```
data_CrAgRh2
_space_group_name_H-M_alt 'C m m 2'
_space_group_IT_number 35
_cell_length_a 2.787
_cell_length_b 4.542
_cell_length_c 9.300
_cell_angle_alpha 90.00
_cell_angle_beta 90.00
_cell_angle_gamma 90.00
loop_
_space_group_symop_operation_xyz
'x,y,z'
'-x,-y,z'
'-x,y,z'
'x,-y,z'
'x+1/2,y+1/2,z'
'-x+1/2,-y+1/2,z'
'-x+1/2,y+1/2,z'
'x+1/2,-y+1/2,z'
loop_
_atom_site_label
_atom_site_type_symbol
_atom_site_fract_x
_atom_site_fract_y
_atom_site_fract_z
Cr1 Cr 0.000 0.000 0.000
Ag1 Ag 0.000 0.500 0.741
Rh1 Rh 0.000 0.000 0.475
Rh2 Rh 0.000 0.500 0.221
```

---

8.
The following is a GGA-PBE calculation of a geometry-optimized CrAgRh2 structure, from Alexandria via LeMat-Bulk.

Results
Electronic total energy = -6.559 eV per atom

```
data_CrAgRh2
_space_group_name_H-M_alt 'R 3 m'
_space_group_IT_number 160
_space_group_name_Hall 'R 3 -2"'
_cell_length_a 2.7198
_cell_length_b 2.7198
_cell_length_c 27.2480
_cell_angle_alpha 90.00
_cell_angle_beta 90.00
_cell_angle_gamma 120.00
loop_
_atom_site_label
_atom_site_type_symbol
_atom_site_fract_x
_atom_site_fract_y
_atom_site_fract_z
Cr1 Cr 0.0000 0.0000 0.0000
Ag1 Ag 0.0000 0.0000 0.2461
Rh1 Rh 0.0000 0.0000 0.4904
Rh2 Rh 0.0000 0.0000 0.7383
```

---

9.
The following is a GGA-PBE calculation of a geometry-optimized CrAgRh2 structure, from Alexandria via LeMat-Bulk.

Results
Electronic total energy = -6.568 eV per atom

```
data_CrAgRh2
_space_group_name_H-M_alt 'C 1 m 1'
_space_group_IT_number 8
_cell_length_a 9.191
_cell_length_b 2.826
_cell_length_c 4.718
_cell_angle_alpha 90.00
_cell_angle_beta 101.97
_cell_angle_gamma 90.00
loop_
_space_group_symop_operation_xyz
'x,y,z'
'x,-y,z'
'x+1/2,y+1/2,z'
'x+1/2,-y+1/2,z'
loop_
_atom_site_label
_atom_site_type_symbol
_atom_site_fract_x
_atom_site_fract_y
_atom_site_fract_z
Cr1 Cr 0.000 0.000 0.000
Ag1 Ag 0.258 0.500 0.274
Rh1 Rh 0.016 0.500 0.536
Rh2 Rh 0.265 0.000 0.779
```

---

10.
The following is a GGA-PBE calculation of a geometry-optimized CrAgRh2 structure, from Alexandria via LeMat-Bulk.

Results
Electronic total energy = -6.584 eV per atom

```
data_CrAgRh2
_space_group_name_H-M_alt 'P m m 2'
_space_group_IT_number 25
_cell_length_a 2.776
_cell_length_b 3.836
_cell_length_c 5.602
_cell_angle_alpha 90.00
_cell_angle_beta 90.00
_cell_angle_gamma 90.00
loop_
_space_group_symop_operation_xyz
'x,y,z'
'-x,-y,z'
'-x,y,z'
'x,-y,z'
loop_
_atom_site_label
_atom_site_type_symbol
_atom_site_fract_x
_atom_site_fract_y
_atom_site_fract_z
Cr1 Cr 0.000 0.000 0.000
Ag1 Ag 0.500 0.500 0.720
Rh1 Rh 0.000 0.000 0.455
Rh2 Rh 0.500 0.500 0.208
```

---

11.
The following is a GGA-PBE calculation of a geometry-optimized Cr2AgRh2 structure, from Alexandria via LeMat-Bulk.

Results
Electronic total energy = -7.178 eV per atom
Offset from the most stable computed form = 0 meV per atom

```
data_Cr2AgRh2
_space_group_name_H-M_alt 'P 4/m b m'
_space_group_IT_number 127
_space_group_name_Hall '-P 4 2ab'
_cell_length_a 7.335
_cell_length_b 7.335
_cell_length_c 2.672
_cell_angle_alpha 90.00
_cell_angle_beta 90.00
_cell_angle_gamma 90.00
loop_
_atom_site_label
_atom_site_type_symbol
_atom_site_fract_x
_atom_site_fract_y
_atom_site_fract_z
Cr1 Cr 0.164 0.336 0.000
Ag1 Ag 0.000 0.000 0.500
Rh1 Rh 0.130 0.630 0.500
```

---

12.
The following is a GGA-PBE calculation of a geometry-optimized CrAgRh2 structure, from Alexandria via LeMat-Bulk.

Results
Electronic total energy = -6.571 eV per atom

```
data_CrAgRh2
_space_group_name_H-M_alt 'I m m m'
_space_group_IT_number 71
_space_group_name_Hall '-I 2 2'
_cell_length_a 2.834
_cell_length_b 4.641
_cell_length_c 9.142
_cell_angle_alpha 90.00
_cell_angle_beta 90.00
_cell_angle_gamma 90.00
loop_
_atom_site_label
_atom_site_type_symbol
_atom_site_fract_x
_atom_site_fract_y
_atom_site_fract_z
Cr1 Cr 0.000 0.000 0.000
Ag1 Ag 0.000 0.000 0.500
Rh1 Rh 0.000 0.500 0.273
```

---

13.
The following is a GGA-PBE calculation of a geometry-optimized CrAgRh2 structure, from Alexandria via LeMat-Bulk.

Results
Electronic total energy = -6.574 eV per atom

```
data_CrAgRh2
_space_group_name_H-M_alt 'I -4 m 2'
_space_group_IT_number 119
_space_group_name_Hall 'I -4 -2'
_cell_length_a 3.895
_cell_length_b 3.895
_cell_length_c 7.886
_cell_angle_alpha 90.00
_cell_angle_beta 90.00
_cell_angle_gamma 90.00
loop_
_atom_site_label
_atom_site_type_symbol
_atom_site_fract_x
_atom_site_fract_y
_atom_site_fract_z
Cr1 Cr 0.000 0.000 0.000
Ag1 Ag 0.000 0.500 0.750
Rh1 Rh 0.000 0.000 0.500
Rh2 Rh 0.000 0.500 0.250
```

---

14.
The following is a GGA-PBE calculation of a geometry-optimized CrAg2Rh structure, from Alexandria via LeMat-Bulk.

Results
Electronic total energy = -5.145 eV per atom
Offset from the most stable computed form = 356 meV per atom

```
data_CrAg2Rh
_space_group_name_H-M_alt 'C m m m'
_space_group_IT_number 65
_space_group_name_Hall '-C 2 2'
_cell_length_a 2.932
_cell_length_b 4.733
_cell_length_c 9.504
_cell_angle_alpha 90.00
_cell_angle_beta 90.00
_cell_angle_gamma 90.00
loop_
_atom_site_label
_atom_site_type_symbol
_atom_site_fract_x
_atom_site_fract_y
_atom_site_fract_z
Cr1 Cr 0.000 0.000 0.000
Ag1 Ag 0.000 0.500 0.248
Rh1 Rh 0.000 0.000 0.500
```

---

15.
The following is a GGA-PBE calculation of a geometry-optimized Cr2AgRh2 structure, from Alexandria via LeMat-Bulk.

Results
Electronic total energy = -7.001 eV per atom
Offset from the most stable computed form = 177 meV per atom

```
data_Cr2AgRh2
_space_group_name_H-M_alt 'I 4/m m m'
_space_group_IT_number 139
_space_group_name_Hall '-I 4 2'
_cell_length_a 3.999
_cell_length_b 3.999
_cell_length_c 9.536
_cell_angle_alpha 90.00
_cell_angle_beta 90.00
_cell_angle_gamma 90.00
loop_
_atom_site_label
_atom_site_type_symbol
_atom_site_fract_x
_atom_site_fract_y
_atom_site_fract_z
Cr1 Cr 0.000 0.000 0.104
Ag1 Ag 0.000 0.000 0.500
Rh1 Rh 0.000 0.500 0.250
```

---

Number 1: density of states at the Fermi level 5.49 states/eV/f.u.. Number 2: density of states at the Fermi level 5.29 states/eV/f.u.. Number 3: density of states at the Fermi level 2.62 states/eV/f.u.. Number 4: density of states at the Fermi level 2.99 states/eV/f.u.. Number 5: density of states at the Fermi level 4.85 states/eV/f.u.. Number 6: density of states at the Fermi level 4.28 states/eV/f.u.. Number 7: density of states at the Fermi level 5.33 states/eV/f.u.. Number 8: density of states at the Fermi level 5.94 states/eV/f.u.. Number 9: density of states at the Fermi level 5.29 states/eV/f.u.. Number 10: density of states at the Fermi level 4.95 states/eV/f.u.. Number 11: density of states at the Fermi level 5.91 states/eV/f.u.. Number 12: density of states at the Fermi level 4.61 states/eV/f.u.. Number 13: density of states at the Fermi level 5.64 states/eV/f.u.. Number 14: density of states at the Fermi level 4.84 states/eV/f.u.. Number 15: density of states at the Fermi level 3.85 states/eV/f.u..